Entry 1:
The following is a PBE-GGA calculation of a relaxed structure of LaGdYEr, from the Alexandria database.

a = 5.7481 Å, b = 5.7481 Å, c = 5.7481 Å
α = 60.00°, β = 60.00°, γ = 60.00°
Each line ends with the local moment (μB).
Positions (direct):
Gd 0.2500 0.2500 0.2500  -7.21
La 0.7500 0.7500 0.7500  0.02
Y 0.0000 0.0000 0.0000  -0.04
Er 0.5000 0.5000 0.5000  -0.05

## Properties
DFT formation energy   0.09 eV per atom
SG   F-43m, No. 216

***

Entry 2:
The following is a PBE-GGA calculation of a relaxed structure of LiGdEr2, from the Alexandria database.

a = 5.4486 Å, b = 5.4486 Å, c = 5.4486 Å
α = 60.00°, β = 60.00°, γ = 60.00°
Each line ends with the local moment (μB).
Positions (direct):
Gd 0.0000 0.0000 0.0000  7.13
Er 0.2500 0.2500 0.2500  -0.01
Er 0.7500 0.7500 0.7500  -0.01
Li 0.5000 0.5000 0.5000  -0.01

## Properties
DFT formation energy   0.20 eV per atom
SG   Fm-3m, No. 225
Relative energy among the computed polymorphs   113 meV/atom

***

- DFT formation energy of number 2 (LiGdEr2)?
  0.20 eV per atom